(1)
Here is a relaxed structure of TmPuRuRh from Alexandria via LeMat-Bulk. Energies are from GGA-PBE.

a = 4.784 Å, b = 4.784 Å, c = 4.784 Å
α = 60.00°, β = 60.00°, γ = 60.00°
Positions (direct):
1 Tm 0.000 0.000 0.000
2 Pu 0.500 0.500 0.500
3 Ru 0.750 0.750 0.750
4 Rh 0.250 0.250 0.250

Computed properties:
- ΔH_f (0 K): -0.49 eV/atom
- Raw total energy: -9.345 eV/atom

(2)
Here is a relaxed structure of CaSm4Er from Alexandria via LeMat-Bulk. Energies are from GGA-PBE.

a = 3.608 Å, b = 5.157 Å, c = 11.009 Å
α = 90.00°, β = 90.00°, γ = 90.00°
Positions (direct):
1 Ca 0.000 0.000 0.000
2 Sm 0.000 0.000 0.341
3 Sm 0.000 0.000 0.659
4 Sm 0.500 0.500 0.182
5 Sm 0.500 0.500 0.818
6 Er 0.500 0.500 0.500

Computed properties:
- ΔH_f (0 K): 0.05 eV/atom
- Relative energy among the computed polymorphs: 0.000 eV/atom
- Raw total energy: -4.187 eV/atom

(3)
Here is a relaxed structure of CePm5Al3 from Alexandria via LeMat-Bulk. Energies are from GGA-PBE.

a = 9.282 Å, b = 9.282 Å, c = 6.752 Å
α = 90.00°, β = 90.00°, γ = 120.00°
Positions (direct):
1 Ce 0.000 0.000 0.000
2 Ce 0.000 0.000 0.500
3 Pm 0.000 0.328 0.250
4 Pm 0.000 0.672 0.750
5 Pm 0.328 0.000 0.250
6 Pm 0.328 0.328 0.750
7 Pm 0.333 0.667 0.000
8 Pm 0.333 0.667 0.500
9 Pm 0.667 0.333 0.000
10 Pm 0.667 0.333 0.500
11 Pm 0.672 0.000 0.750
12 Pm 0.672 0.672 0.250
13 Al 0.000 0.336 0.750
14 Al 0.000 0.664 0.250
15 Al 0.336 0.000 0.750
16 Al 0.336 0.336 0.250
17 Al 0.664 0.000 0.250
18 Al 0.664 0.664 0.750

Computed properties:
- ΔH_f (0 K): -0.22 eV/atom
- Raw total energy: -4.768 eV/atom

(4)
Here is a relaxed structure of Ac2TbSb3Pt4 from Alexandria via LeMat-Bulk. Energies are from GGA-PBE.

a = 4.662 Å, b = 4.662 Å, c = 11.368 Å
α = 90.00°, β = 90.00°, γ = 90.00°
Positions (direct):
1 Ac 0.000 0.500 0.221
2 Ac 0.500 0.000 0.779
3 Tb 0.000 0.000 0.500
4 Sb 0.000 0.500 0.875
5 Sb 0.500 0.000 0.125
6 Sb 0.500 0.500 0.500
7 Pt 0.000 0.000 0.000
8 Pt 0.000 0.500 0.642
9 Pt 0.500 0.000 0.358
10 Pt 0.500 0.500 0.000

Computed properties:
- Raw total energy: -5.929 eV/atom

| no. | DOS(E_F) (states/eV/f.u.) | magnetic moment (μB per atom) |
| --- | --- | --- |
| 1 | 6.27 | 1.15 |
| 2 | 9.26 | 0.00 |
| 3 | 12.80 | 0.21 |
| 4 | 3.74 | 0.00 |